Entry a
Compound: Pm5DyEr3
Source: Alexandria via LeMat-Bulk
Functional: PBE-GGA
Structure: relaxed

Cell: 9.3212 9.9068 7.2883 Å, 90.01 90.00 118.06°
Fractional coordinates of all 18 atoms:
Pm  0.8404  0.3286  0.4986
Er  0.1781  0.3551  0.2500
Dy  0.3284  0.0000  0.2500
Pm  0.4882  0.3286  0.9986
Pm  0.3027  0.0000  0.7500
Pm  0.4879  0.3284  0.5013
Er  0.0000  0.0000  0.5000
Pm  0.1595  0.6716  0.9987
Pm  0.5121  0.6716  0.4987
Pm  0.6973  0.0000  0.2500
Er  0.8230  0.6449  0.2500
Dy  0.6716  0.0000  0.7500
Pm  0.1596  0.6714  0.5014
Er  0.1770  0.3551  0.7500
Er  0.0000  0.0000  0.0000
Pm  0.8405  0.3284  0.0013
Pm  0.5118  0.6714  0.0014
Er  0.8219  0.6449  0.7500

Entry b
Compound: Pm5DyEr3
Source: Alexandria via LeMat-Bulk
Functional: PBE-GGA
Structure: relaxed

Cell: 9.2295 9.2295 9.6749 Å, 118.49 118.49 90.00°
Fractional coordinates of all 18 atoms:
Pm  0.5000  0.5000  0.0000
Er  0.1101  0.3899  0.0000
Er  0.8899  0.6101  0.0000
Pm  0.9304  0.4304  0.2642
Pm  0.4304  0.3337  0.2642
Pm  0.5696  0.6663  0.7358
Pm  0.0000  0.0000  0.0000
Pm  0.1663  0.0696  0.7358
Pm  0.8337  0.9304  0.2642
Er  0.2500  0.2500  0.5000
Pm  0.3337  0.8337  0.2642
Er  0.7500  0.7500  0.5000
Er  0.3899  0.8899  0.0000
Pm  0.6663  0.1663  0.7358
Pm  0.0696  0.5696  0.7358
Dy  0.7500  0.2500  0.5000
Er  0.6101  0.1101  0.0000
Dy  0.2500  0.7500  0.5000

Least stable of them? entry b.

Entry a
Compound: Pm2Dy8Er
Source: Alexandria via LeMat-Bulk
Functional: PBE-GGA
Structure: relaxed

Cell: 6.6610 10.1669 10.1669 Å, 38.19 59.53 59.53°
Fractional coordinates of all 11 atoms:
Dy  0.8194  0.2435  0.2435
Dy  0.2697  0.4116  0.4116
Pm  0.5996  0.8014  0.8014
Dy  0.7715  0.6497  0.1748
Dy  0.1806  0.7565  0.7565
Dy  0.7715  0.1748  0.6497
Pm  0.4004  0.1986  0.1986
Dy  0.2285  0.8252  0.3503
Dy  0.2285  0.3503  0.8252
Er  0.0000  0.0000  0.0000
Dy  0.7303  0.5884  0.5884

Entry b
Compound: Pm2Dy8Er
Source: Alexandria via LeMat-Bulk
Functional: PBE-GGA
Structure: relaxed

Cell: 5.0293 7.9602 9.4131 Å, 104.71 105.49 90.00°
Fractional coordinates of all 11 atoms:
Dy  0.3188  0.0916  0.6377
Er  0.5000  0.0000  0.0000
Pm  0.7731  0.3629  0.5461
Dy  0.6812  0.9084  0.3623
Dy  0.4101  0.5468  0.8202
Pm  0.2269  0.6371  0.4539
Dy  0.5899  0.4532  0.1798
Dy  0.9553  0.2722  0.9106
Dy  0.8649  0.8214  0.7297
Dy  0.0447  0.7278  0.0894
Dy  0.1351  0.1786  0.2703

Least stable of them? entry a.

Entry a
Compound: Pm4Dy4Er3
Source: Alexandria via LeMat-Bulk
Functional: PBE-GGA
Structure: relaxed

Cell: 3.6013 9.3758 11.9320 Å, 113.13 98.68 90.00°
Fractional coordinates of all 11 atoms:
Dy  0.7398  0.2398  0.4795
Pm  0.3560  0.5344  0.7121
Er  0.0000  0.5000  0.0000
Dy  0.5000  0.8170  0.0000
Pm  0.6440  0.4656  0.2879
Dy  0.5000  0.1830  0.0000
Pm  0.6440  0.8224  0.2879
Er  0.1073  0.1073  0.2146
Dy  0.2602  0.7602  0.5205
Pm  0.3560  0.1776  0.7121
Er  0.8927  0.8927  0.7854

Entry b
Compound: Pm4Dy4Er3
Source: Alexandria via LeMat-Bulk
Functional: PBE-GGA
Structure: relaxed

Cell: 3.5238 5.6440 18.0809 Å, 81.03 84.40 89.99°
Fractional coordinates of all 11 atoms:
Pm  0.4096  0.9097  0.1804
Er  0.1361  0.6357  0.7288
Pm  0.5905  0.0904  0.8196
Dy  0.3194  0.8199  0.3603
Er  0.0000  0.0000  0.0000
Dy  0.5459  0.5457  0.9091
Er  0.8639  0.3643  0.2712
Pm  0.7320  0.7323  0.5356
Dy  0.6807  0.1802  0.6397
Pm  0.2680  0.2678  0.4643
Dy  0.4541  0.4543  0.0910

Least stable of them? entry a.

Entry a
Compound: PmDy3Er5
Source: Alexandria via LeMat-Bulk
Functional: PBE-GGA
Structure: relaxed

Cell: 9.2445 9.2445 12.7323 Å, 51.54 51.54 50.79°
Fractional coordinates of all 18 atoms:
Pm  0.8930  0.8930  0.8710
Er  0.0787  0.4894  0.7805
Dy  0.3062  0.3062  0.3133
Er  0.4429  0.4429  0.4343
Dy  0.0000  0.0000  0.5000
Dy  0.1667  0.1667  0.6586
Er  0.5106  0.9213  0.2195
Er  0.5571  0.5571  0.5657
Er  0.3703  0.3703  0.9288
Er  0.3207  0.6793  0.0000
Dy  0.6938  0.6938  0.6867
Dy  0.0000  0.0000  0.0000
Er  0.4894  0.0787  0.7805
Er  0.6793  0.3207  0.0000
Er  0.6297  0.6297  0.0712
Er  0.9213  0.5106  0.2195
Dy  0.8333  0.8333  0.3414
Pm  0.1070  0.1070  0.1290

Entry b
Compound: PmDy3Er5
Source: Alexandria via LeMat-Bulk
Functional: PBE-GGA
Structure: relaxed

Cell: 6.1481 9.1191 11.1808 Å, 89.35 90.00 109.70°
Fractional coordinates of all 18 atoms:
Pm  0.8800  0.0000  0.7500
Dy  0.5557  0.6697  0.5848
Dy  0.0000  0.0000  0.5000
Er  0.9702  0.3447  0.2521
Dy  0.4443  0.3303  0.4152
Er  0.0298  0.6553  0.7479
Er  0.3746  0.3447  0.7521
Er  0.6254  0.6553  0.2479
Dy  0.8860  0.3303  0.9152
Er  0.1079  0.6689  0.4129
Dy  0.1140  0.6697  0.0848
Er  0.5941  0.0000  0.2500
Er  0.5610  0.6689  0.9129
Er  0.4390  0.3311  0.0871
Er  0.8921  0.3311  0.5871
Er  0.4059  0.0000  0.7500
Dy  0.0000  0.0000  0.0000
Pm  0.1200  0.0000  0.2500

Least stable of them? entry a.

Entry a
Compound: PmDy5Er
Source: Alexandria via LeMat-Bulk
Functional: PBE-GGA
Structure: relaxed

Cell: 6.7449 6.7449 13.5928 Å, 62.01 62.01 59.86°
Fractional coordinates of all 14 atoms:
Dy  0.3935  0.1591  0.2549
Pm  0.2800  0.7200  0.2500
Dy  0.8398  0.1602  0.2500
Dy  0.6877  0.6554  0.9993
Dy  0.8409  0.6065  0.2451
Dy  0.6554  0.6877  0.4993
Er  0.0000  0.0000  0.5000
Dy  0.1602  0.8398  0.7500
Dy  0.6065  0.8409  0.7451
Dy  0.3123  0.3446  0.0007
Dy  0.3446  0.3123  0.5007
Pm  0.7200  0.2800  0.7500
Er  0.0000  0.0000  0.0000
Dy  0.1591  0.3935  0.7549

Entry b
Compound: PmDy5Er
Source: Alexandria via LeMat-Bulk
Functional: PBE-GGA
Structure: relaxed

Cell: 5.7608 7.8915 7.8915 Å, 66.03 68.59 68.59°
Fractional coordinates of all 7 atoms:
Pm  0.5000  0.5000  0.5000
Dy  0.7449  0.2551  0.2551
Dy  0.2551  0.7449  0.7449
Dy  0.5000  0.8223  0.1777
Dy  0.0000  0.5000  0.5000
Er  0.0000  0.0000  0.0000
Dy  0.5000  0.1777  0.8223

Least stable of them? entry b.

Entry a
Compound: PmDy7Er12
Source: Alexandria via LeMat-Bulk
Functional: PBE-GGA
Structure: relaxed

Cell: 8.6207 8.6207 8.6207 Å, 95.20 95.20 95.20°
Fractional coordinates of all 20 atoms:
Dy  0.5000  0.5000  0.5000
Dy  0.9829  0.9177  0.6478
Dy  0.9177  0.6478  0.9829
Er  0.5851  0.5218  0.8532
Dy  0.3522  0.0171  0.0823
Er  0.4782  0.1468  0.4149
Er  0.1888  0.7490  0.3185
Er  0.8112  0.2510  0.6815
Er  0.7490  0.3185  0.1888
Er  0.6815  0.8112  0.2510
Er  0.1468  0.4149  0.4782
Dy  0.0823  0.3522  0.0171
Er  0.5218  0.8532  0.5851
Er  0.3185  0.1888  0.7490
Er  0.8532  0.5851  0.5218
Er  0.4149  0.4782  0.1468
Dy  0.0171  0.0823  0.3522
Er  0.2510  0.6815  0.8112
Pm  0.0000  0.0000  0.0000
Dy  0.6478  0.9829  0.9177

Entry b
Compound: PmDy7Er12
Source: Alexandria via LeMat-Bulk
Functional: PBE-GGA
Structure: relaxed

Cell: 9.6847 9.6847 9.6847 Å, 109.47 109.47 109.47°
Fractional coordinates of all 20 atoms:
Er  0.2536  0.7457  0.9992
Er  0.5079  0.2536  0.2543
Er  0.7457  0.9992  0.2536
Dy  0.5000  0.0000  0.5000
Dy  0.0000  0.5000  0.0000
Dy  0.5000  0.5000  0.5000
Pm  0.0000  0.0000  0.0000
Dy  0.5000  0.0000  0.0000
Er  0.2543  0.0008  0.7464
Er  0.7457  0.4921  0.7464
Er  0.2543  0.5079  0.2536
Er  0.2536  0.2543  0.5079
Dy  0.0000  0.0000  0.5000
Er  0.0008  0.7464  0.2543
Dy  0.0000  0.5000  0.5000
Dy  0.5000  0.5000  0.0000
Er  0.4921  0.7464  0.7457
Er  0.7464  0.2543  0.0008
Er  0.7464  0.7457  0.4921
Er  0.9992  0.2536  0.7457

Least stable of them? entry b.

Entry a
Compound: Pm2Dy8Er3
Source: Alexandria via LeMat-Bulk
Functional: PBE-GGA
Structure: relaxed

Cell: 3.5010 11.6808 20.6185 Å, 90.00 90.00 90.00°
Fractional coordinates of all 26 atoms:
Dy  0.4999  0.8728  0.2850
Pm  0.4998  0.6795  0.5992
Er  0.0002  0.1449  0.2988
Dy  0.9996  0.0525  0.1584
Dy  0.9999  0.7921  0.4467
Pm  0.5002  0.1795  0.9008
Dy  0.5001  0.4541  0.9284
Er  0.0000  0.0000  0.0000
Er  0.9998  0.8551  0.7012
Dy  0.4999  0.5459  0.0716
Dy  0.0001  0.2079  0.5533
Dy  0.0001  0.2921  0.0533
Dy  0.5001  0.1272  0.7150
Dy  0.9996  0.4475  0.6584
Dy  0.4999  0.9541  0.5716
Dy  0.0004  0.5525  0.3416
Dy  0.0004  0.9475  0.8416
Dy  0.5001  0.3728  0.2150
Er  0.0002  0.3551  0.7988
Pm  0.5002  0.3205  0.4008
Dy  0.5001  0.0459  0.4284
Dy  0.9999  0.7079  0.9467
Dy  0.4999  0.6272  0.7850
Pm  0.4998  0.8205  0.0992
Er  0.9998  0.6449  0.2012
Er  0.0000  0.5000  0.5000

Entry b
Compound: Pm2Dy8Er3
Source: Alexandria via LeMat-Bulk
Functional: PBE-GGA
Structure: relaxed

Cell: 5.5393 7.5900 10.9768 Å, 110.24 90.01 90.00°
Fractional coordinates of all 13 atoms:
Dy  0.5001  0.3939  0.2124
Pm  0.5004  0.7592  0.5184
Dy  0.4999  0.6061  0.7876
Dy  0.4999  0.1815  0.7876
Er  0.5000  0.0000  0.0000
Dy  0.0001  0.8708  0.7416
Er  0.0000  0.7146  0.0000
Dy  0.0004  0.6625  0.3250
Dy  0.9996  0.3375  0.6750
Pm  0.4996  0.2408  0.4816
Er  0.0000  0.2854  0.0000
Dy  0.9999  0.1292  0.2584
Dy  0.5001  0.8185  0.2124

Least stable of them? entry b.

Entry a
Compound: Pm4DyEr5
Source: Alexandria via LeMat-Bulk
Functional: PBE-GGA
Structure: relaxed

Cell: 5.9053 8.0839 8.0839 Å, 82.33 68.58 68.58°
Fractional coordinates of all 10 atoms:
Er  0.7605  0.9997  0.3777
Er  0.7602  0.3777  0.0003
Pm  0.7769  0.6764  0.6767
Er  0.1382  0.6223  0.9997
Pm  0.4533  0.6767  0.3236
Dy  0.2118  0.0000  0.0000
Er  0.6880  0.0000  0.0000
Pm  0.1300  0.3236  0.3233
Pm  0.4536  0.3233  0.6764
Er  0.1379  0.0003  0.6223

Entry b
Compound: Pm4DyEr5
Source: Alexandria via LeMat-Bulk
Functional: PBE-GGA
Structure: relaxed

Cell: 3.5158 11.1678 8.7243 Å, 90.06 101.57 90.01°
Fractional coordinates of all 10 atoms:
Er  0.8266  0.0510  0.6524
Er  0.5000  0.5000  0.0000
Pm  0.0310  0.7494  0.0626
Pm  0.3445  0.7500  0.6876
Pm  0.9690  0.2506  0.9374
Er  0.8269  0.4500  0.6531
Er  0.1731  0.5500  0.3469
Pm  0.6555  0.2500  0.3124
Er  0.1734  0.9490  0.3476
Dy  0.5000  0.0000  0.0000

Least stable of them? entry a.

Entry a
Compound: Pm6Dy3Er2
Source: Alexandria via LeMat-Bulk
Functional: PBE-GGA
Structure: relaxed

Cell: 4.7662 4.7662 17.1085 Å, 98.01 98.01 90.00°
Fractional coordinates of all 11 atoms:
Pm  0.3800  0.8800  0.7600
Er  0.4547  0.4547  0.9094
Dy  0.0000  0.0000  0.0000
Pm  0.1200  0.6200  0.2400
Dy  0.1976  0.1976  0.3953
Pm  0.6200  0.1200  0.2400
Er  0.5453  0.5453  0.0906
Dy  0.8024  0.8024  0.6047
Pm  0.7000  0.7000  0.4000
Pm  0.3000  0.3000  0.6000
Pm  0.8800  0.3800  0.7600

Entry b
Compound: Pm6Dy3Er2
Source: Alexandria via LeMat-Bulk
Functional: PBE-GGA
Structure: relaxed

Cell: 3.5959 3.5959 32.2073 Å, 86.80 86.80 60.00°
Fractional coordinates of all 11 atoms:
Dy  0.7273  0.7273  0.8182
Pm  0.1823  0.1823  0.4532
Er  0.4543  0.4543  0.6371
Er  0.5457  0.5457  0.3629
Pm  0.0909  0.0909  0.7272
Pm  0.6363  0.6363  0.0910
Pm  0.8177  0.8177  0.5468
Dy  0.0000  0.0000  0.0000
Pm  0.9091  0.9091  0.2728
Dy  0.2727  0.2727  0.1818
Pm  0.3637  0.3637  0.9090

Least stable of them? entry a.